# CrGeSO | Alexandria via LeMat-Bulk | PBE+U | relaxed
# magnetic moment = 8.00 μB/cell
# E_tot = -0.2248 hartree per atom
data_CrGeSO
_symmetry_space_group_name_H-M 'C 1 m 1'
_symmetry_Int_Tables_number 8
_cell_length_a 9.6683
_cell_length_b 3.8710
_cell_length_c 5.0552
_cell_angle_alpha 90.00
_cell_angle_beta 115.64
_cell_angle_gamma 90.00
loop_
_symmetry_equiv_pos_as_xyz
'x,y,z'
'x,-y,z'
'x+1/2,y+1/2,z'
'x+1/2,-y+1/2,z'
loop_
_atom_site_label
_atom_site_fract_x
_atom_site_fract_y
_atom_site_fract_z
Cr1 0.0000 0.0000 0.0000
Ge1 0.3304 0.0000 0.2212
S1 0.4860 0.5000 0.4909
O1 0.4386 0.0000 0.9902